Model a:
! NiAs2Pt | Alexandria | meta-GGA SCAN | single point on PBEsol structure; values from VASP
! ρ, g/cm³: 8.65
! Crystal system: tetragonal
! Calculated volume, Å³/atom: 19.4
&SYSTEM
  ibrav = 0, nat = 8, ntyp = 3
/
ATOMIC_SPECIES
Ni 58.69 Ni.upf
As 74.92 As.upf
Pt 195.08 Pt.upf
CELL_PARAMETERS angstrom
-1.664 -0.975 5.139
4.127 -3.558 0.661
1.779 6.074 -1.203
ATOMIC_POSITIONS angstrom
Ni 0.673 1.416 3.418
Ni 1.231 -2.267 2.900
As 3.393 -1.984 2.325
As 0.575 -0.646 4.323
As 1.739 3.905 -0.162
As 2.777 1.805 2.707
Pt 3.569 0.124 1.179
Pt 0.000 0.000 0.000

Model b:
! NiAs2Pt | Alexandria | meta-GGA SCAN | single point on PBEsol structure; values from VASP
! ρ, g/cm³: 11.36
! Crystal system: orthorhombic
! Calculated volume, Å³/atom: 14.8
&SYSTEM
  ibrav = 0, nat = 4, ntyp = 3
/
ATOMIC_SPECIES
As 74.92 As.upf
Ni 58.69 Ni.upf
Pt 195.08 Pt.upf
CELL_PARAMETERS angstrom
-1.491 -0.458 2.958
0.778 -4.121 -0.246
4.034 2.868 0.587
ATOMIC_POSITIONS angstrom
As 3.311 -1.713 3.294
As 2.078 -1.795 0.769
Ni -0.246 -2.272 1.415
Pt 1.143 0.068 2.477

The energy of each structure relative to the most stable one, in meV per atom, is as follows: model a 0; model b 194.